The following is a DFT calculation (PBE) of a relaxed NpIO5 crystal.

- excess energy over the best structure of this formula in the dataset (meV/atom) = 0.0
- formation energy (no corrections) (meV per atom) = -1595
- size of the total moment (μB per cell) = 8.00

Lattice parameters (Å, degrees): 5.6117 6.0989 14.0136 90.00 90.00 90.00
Last column: nearest neighbours and their distance in Å.
Atoms (fractional coordinates):
Np  0.4026  0.7511  0.9709  2 O 1.87-1.91
Np  0.9026  0.2489  0.0291  2 O 1.87-1.91
Np  0.4026  0.7489  0.4709  2 O 1.87-1.91
Np  0.9026  0.2511  0.5291  2 O 1.87-1.91
I  0.3997  0.5146  0.2168  3 O 1.83-1.84
I  0.8997  0.4854  0.7832  3 O 1.83-1.84
I  0.3997  0.9854  0.7168  3 O 1.83-1.84
I  0.8997  0.0146  0.2832  3 O 1.83-1.84
O  0.6117  0.9854  0.9886  1 Np 1.87
O  0.1117  0.0146  0.0114  1 Np 1.87
O  0.6117  0.5146  0.4886  1 Np 1.87
O  0.1117  0.4854  0.5114  1 Np 1.87
O  0.1803  0.5159  0.9554  1 Np 1.91
O  0.6803  0.4841  0.0446  1 Np 1.91
O  0.1803  0.9841  0.4554  1 Np 1.91
O  0.6803  0.0159  0.5446  1 Np 1.91
O  0.8250  0.2462  0.3603  1 I 1.83
O  0.3250  0.7538  0.6397  1 I 1.83
O  0.8250  0.2538  0.8603  1 I 1.83
O  0.3250  0.7462  0.1397  1 I 1.83
O  0.7419  0.1087  0.1761  1 I 1.84
O  0.2419  0.8913  0.8239  1 I 1.84
O  0.7419  0.3913  0.6761  1 I 1.84
O  0.2419  0.6087  0.3239  1 I 1.84
O  0.6758  0.8186  0.3256  1 I 1.83
O  0.1758  0.1814  0.6744  1 I 1.83
O  0.6758  0.6814  0.8256  1 I 1.83
O  0.1758  0.3186  0.1744  1 I 1.83

The following is a DFT calculation (PBE) of a relaxed NpIO6 crystal.

- formation energy (no corrections) (meV per atom) = -1387
- size of the total moment (μB per cell) = 0.09

Lattice parameters (Å, degrees): 5.5732 5.5730 5.7076 60.78 60.78 60.00
Last column: nearest neighbours and their distance in Å.
Atoms (fractional coordinates):
Np  0.5000  0.5000  0.5000  6 O 2.03
I  0.0000  0.0000  0.0000  6 O 2.06
O  0.1705  0.3332  0.7482  1 Np 2.03, 1 I 2.06
O  0.7483  0.1705  0.7481  1 Np 2.03, 1 I 2.06
O  0.6668  0.2517  0.2519  1 Np 2.03, 1 I 2.06
O  0.2517  0.8295  0.2519  1 Np 2.03, 1 I 2.06
O  0.8295  0.6668  0.2518  1 Np 2.03, 1 I 2.06
O  0.3332  0.7483  0.7481  1 Np 2.03, 1 I 2.06

The following is a DFT calculation (PBE) of a relaxed NpI2O6 crystal.

- formation energy (no corrections) (meV per atom) = -1197
- size of the total moment (μB per cell) = 2.00

Lattice parameters (Å, degrees): 6.3484 7.1491 9.9421 70.42 94.51 109.02
Last column: nearest neighbours and their distance in Å.
Atoms (fractional coordinates):
Np  0.2230  0.9046  0.0733  2 O 1.80-1.88
Np  0.7770  0.0954  0.9267  2 O 1.80-1.88
I  0.1040  0.2961  0.2256  3 O 1.84-1.92
I  0.2946  0.6766  0.6403  2 O 2.19-2.26
I  0.8960  0.7039  0.7744  3 O 1.84-1.92
I  0.7054  0.3234  0.3597  2 O 2.19-2.26
O  0.3557  0.2210  0.2821  1 I 1.84
O  0.9414  0.6451  0.6058  1 I 1.92
O  0.6443  0.7790  0.7179  1 I 1.84
O  0.0586  0.3549  0.3942  1 I 1.92
O  0.8978  0.1825  0.7501  1 Np 1.80
O  0.7767  0.4315  0.8953  1 I 1.85
O  0.1022  0.8175  0.2499  1 Np 1.80
O  0.2233  0.5685  0.1047  1 I 1.85
O  0.1032  0.1763  0.0227  2 Np 2.19-2.20, 1 I 2.44
O  0.3669  0.9903  0.8948  1 Np 1.88
O  0.8968  0.8237  0.9773  2 Np 2.19-2.20, 1 I 2.44
O  0.6331  0.0097  0.1052  1 Np 1.88

The following is a DFT calculation (PBE) of a relaxed Np2IO8 crystal.

- formation energy (no corrections) (meV per atom) = -1933
- size of the total moment (μB per cell) = 1.00

Lattice parameters (Å, degrees): 5.8056 5.5205 7.7144 109.35 121.11 103.11
Last column: nearest neighbours and their distance in Å.
Atoms (fractional coordinates):
Np  0.1779  0.7583  0.4676  3 O 1.85-2.00
Np  0.8221  0.2417  0.5324  3 O 1.85-2.00
I  0.0000  0.0000  0.0000  4 O 2.12-2.15
O  0.7016  0.9704  0.6720  1 I 2.12, 2 Np 2.29-2.30
O  0.2466  0.0753  0.7085  1 Np 1.85
O  0.2984  0.0296  0.3280  1 I 2.12, 2 Np 2.29-2.30
O  0.7387  0.4479  0.3545  2 Np 2.00-2.22
O  0.7534  0.9247  0.2915  1 Np 1.85
O  0.0890  0.4369  0.1999  1 Np 1.93, 1 I 2.15
O  0.9110  0.5631  0.8001  1 Np 1.93, 1 I 2.15
O  0.2613  0.5521  0.6455  2 Np 2.00-2.22

no.,DOS(E_F) (states/eV per cell)
1,8.66
2,1.63
3,8.86
4,5.09